Here is an optimized crystal structure of ZnAsPb2 from Alexandria via LeMat-Bulk. Energies are from PBE-GGA.

Calculated values
energy relative to the lowest polymorph listed for this composition: 45.2 kJ/mol of formula units
ΔE_f: 0.148 eV/atom

Cell lengths 3.7930, 3.7930, 7.0419 Å; angles 90.00, 90.00, 90.00 degrees
With the nearest neighbours (Å) after each atom.
Fractional coordinates of all 4 atoms:
Zn  0.0000  0.0000  0.0000  8 Pb 3.24, 2 As 3.52
As  0.0000  0.0000  0.5000  8 Pb 3.17, 2 Zn 3.52
Pb  0.5000  0.5000  0.2590  4 As 3.17, 4 Zn 3.24, 1 Pb 3.39
Pb  0.5000  0.5000  0.7410  4 As 3.17, 4 Zn 3.24, 1 Pb 3.39

=====

Here is an optimized crystal structure of Ho2Ga5Co3 from Alexandria via LeMat-Bulk. Energies are from PBE-GGA.

Calculated values
ΔE_f: -0.505 eV/atom

Cell lengths 8.3080, 8.3080, 8.3080 Å; angles 109.67, 83.20, 141.42 degrees
With the nearest neighbours (Å) after each atom.
Fractional coordinates of all 20 atoms:
Ho  0.1460  0.2228  0.3687  4 Co 2.93-3.13, 9 Ga 2.98-3.16
Ho  0.3540  0.7228  0.0768  4 Co 2.93-3.13, 9 Ga 2.98-3.16
Ho  0.6460  0.2772  0.9232  4 Co 2.93-3.13, 9 Ga 2.98-3.16
Ho  0.8540  0.7772  0.6313  4 Co 2.93-3.13, 9 Ga 2.98-3.16
Ga  0.0474  0.7500  0.2974  3 Co 2.42-2.52, 2 Ga 2.67
Ga  0.0823  0.6820  0.7644  3 Co 2.40-2.44, 2 Ga 2.67
Ga  0.2500  0.2500  0.0000  4 Co 2.45, 2 Ga 2.74
Ga  0.4177  0.1820  0.5997  3 Co 2.40-2.44, 2 Ga 2.67
Ga  0.4526  0.7500  0.7026  3 Co 2.42-2.52, 2 Ga 2.67
Ga  0.5474  0.2500  0.2974  3 Co 2.42-2.52, 2 Ga 2.67
Ga  0.5823  0.8180  0.4003  3 Co 2.40-2.44, 2 Ga 2.67
Ga  0.7500  0.7500  0.0000  4 Co 2.45, 2 Ga 2.74
Ga  0.9177  0.3180  0.2356  3 Co 2.40-2.44, 2 Ga 2.67
Ga  0.9526  0.2500  0.7026  3 Co 2.42-2.52, 2 Ga 2.67
Co  0.1506  0.9164  0.0669  5 Ga 2.40-2.45
Co  0.2500  0.7500  0.5000  6 Ga 2.44-2.52
Co  0.3494  0.4164  0.7658  5 Ga 2.40-2.45
Co  0.6506  0.5836  0.2342  5 Ga 2.40-2.45
Co  0.7500  0.2500  0.5000  6 Ga 2.44-2.52
Co  0.8494  0.0836  0.9331  5 Ga 2.40-2.45

=====

Here is an optimized crystal structure of TbMgAlAu from Alexandria via LeMat-Bulk. Energies are from PBE-GGA.

Calculated values
ΔE_f: -0.517 eV/atom

Cell lengths 4.9178, 4.9178, 4.9178 Å; angles 60.00, 60.00, 60.00 degrees
With the nearest neighbours (Å) after each atom.
Fractional coordinates of all 4 atoms:
Tb  0.0000  0.0000  0.0000  4 Al 3.01, 4 Au 3.01
Mg  0.5000  0.5000  0.5000  4 Au 3.01, 4 Al 3.01
Al  0.2500  0.2500  0.2500  4 Mg 3.01, 4 Tb 3.01
Au  0.7500  0.7500  0.7500  4 Mg 3.01, 4 Tb 3.01

=====

Which value of ΔE_f does entry 3 give? -0.517 eV/atom